# 1
Entry from Alexandria via LeMat-Bulk: an optimized crystal structure of CaB5H3O10 (GGA-PBEsol).

Summary:
The calculation puts the total energy at -7.49 eV/atom. As for the symmetry: P2_1/c, No. 14. Its density of states at the Fermi level is 0.0000 states/eV/atom.

a b c (Å): 6.5362 6.5560 19.4924
angles (deg): 90.00 90.00 119.28
With the nearest neighbours (Å) after each atom.
Sites, in units of the cell vectors:
Ca (0.1804, 0.5559, 0.8074)  7 O 2.35-2.61
Ca (0.1804, 0.0559, 0.6926)  7 O 2.35-2.61
Ca (0.8196, 0.9441, 0.3074)  7 O 2.35-2.61
Ca (0.8196, 0.4441, 0.1926)  7 O 2.35-2.61
B (0.0821, 0.5651, 0.6559)  4 O 1.45-1.50
B (0.2267, 0.8313, 0.3151)  3 O 1.35-1.39
B (0.3156, 0.6579, 0.5496)  3 O 1.36-1.39
B (0.3256, 0.5231, 0.3269)  3 O 1.35-1.41
B (0.0821, 0.0651, 0.8441)  4 O 1.45-1.50
B (0.2267, 0.3313, 0.1849)  3 O 1.35-1.39
B (0.4915, 0.7521, 0.1600)  4 O 1.45-1.48
B (0.5085, 0.7479, 0.6600)  4 O 1.45-1.48
B (0.6744, 0.9769, 0.8269)  3 O 1.35-1.41
B (0.3156, 0.1579, 0.9504)  3 O 1.36-1.39
B (0.6844, 0.8421, 0.0496)  3 O 1.36-1.39
B (0.3256, 0.0231, 0.1731)  3 O 1.35-1.41
B (0.4915, 0.2521, 0.3400)  4 O 1.45-1.48
B (0.5085, 0.2479, 0.8400)  4 O 1.45-1.48
B (0.7733, 0.6687, 0.8151)  3 O 1.35-1.39
B (0.9179, 0.9349, 0.1559)  4 O 1.45-1.50
B (0.6744, 0.4769, 0.6731)  3 O 1.35-1.41
B (0.6844, 0.3421, 0.4504)  3 O 1.36-1.39
B (0.7733, 0.1687, 0.6849)  3 O 1.35-1.39
B (0.9179, 0.4349, 0.3441)  4 O 1.45-1.50
H (0.1502, 0.6586, 0.9553)  1 O 0.98
H (0.1654, 0.5844, 0.4567)  1 O 1.01
H (0.4043, 0.6903, 0.9451)  1 O 1.01
H (0.1502, 0.1586, 0.5447)  1 O 0.98
H (0.1654, 0.0844, 0.0433)  1 O 1.01
H (0.5957, 0.8097, 0.4451)  1 O 1.01
H (0.4043, 0.1903, 0.5549)  1 O 1.01
H (0.8346, 0.9156, 0.9567)  1 O 1.01
H (0.8498, 0.8414, 0.4553)  1 O 0.98
H (0.5957, 0.3097, 0.0549)  1 O 1.01
H (0.8346, 0.4156, 0.5433)  1 O 1.01
H (0.8498, 0.3414, 0.0447)  1 O 0.98
O (0.0059, 0.8361, 0.8081)  2 B 1.38-1.50
O (0.0948, 0.8603, 0.1667)  2 B 1.36-1.47
O (0.0059, 0.3361, 0.6919)  2 B 1.38-1.50
O (0.1005, 0.5337, 0.5822)  2 B 1.39-1.46
O (0.0948, 0.3603, 0.3333)  2 B 1.36-1.47
O (0.2394, 0.6087, 0.9264)  2 H 0.98-1.01
O (0.2950, 0.7413, 0.6885)  2 B 1.45-1.48
O (0.2769, 0.5567, 0.1892)  2 B 1.35-1.47
O (0.3245, 0.6593, 0.4790)  1 H 1.01
O (0.3942, 0.7631, 0.3261)  2 B 1.39-1.41
O (0.5035, 0.9762, 0.1795)  2 B 1.35-1.48
O (0.1005, 0.0337, 0.9178)  2 B 1.39-1.46
O (0.4821, 0.7273, 0.0858)  2 B 1.36-1.45
O (0.5179, 0.7727, 0.5858)  2 B 1.36-1.45
O (0.2394, 0.1087, 0.5736)  2 H 0.98-1.01
O (0.2950, 0.2413, 0.8115)  2 B 1.45-1.48
O (0.2769, 0.0567, 0.3108)  2 B 1.35-1.47
O (0.4965, 0.5238, 0.6795)  2 B 1.35-1.48
O (0.6058, 0.7369, 0.8261)  2 B 1.39-1.41
O (0.6755, 0.8407, 0.9790)  1 H 1.01
O (0.3245, 0.1593, 0.0210)  1 H 1.01
O (0.3942, 0.2631, 0.1739)  2 B 1.39-1.41
O (0.5035, 0.4762, 0.3205)  2 B 1.35-1.48
O (0.7231, 0.9433, 0.6892)  2 B 1.35-1.47
O (0.7050, 0.7587, 0.1885)  2 B 1.45-1.48
O (0.7606, 0.8913, 0.4264)  2 H 0.98-1.01
O (0.4821, 0.2273, 0.4142)  2 B 1.36-1.45
O (0.5179, 0.2727, 0.9142)  2 B 1.36-1.45
O (0.8995, 0.9663, 0.0822)  2 B 1.39-1.46
O (0.4965, 0.0238, 0.8205)  2 B 1.35-1.48
O (0.6058, 0.2369, 0.6739)  2 B 1.39-1.41
O (0.6755, 0.3407, 0.5210)  1 H 1.01
O (0.7231, 0.4433, 0.8108)  2 B 1.35-1.47
O (0.7050, 0.2587, 0.3115)  2 B 1.45-1.48
O (0.7606, 0.3913, 0.0736)  2 H 0.98-1.01
O (0.9052, 0.6397, 0.6667)  2 B 1.36-1.47
O (0.8995, 0.4663, 0.4178)  2 B 1.39-1.46
O (0.9941, 0.6639, 0.3081)  2 B 1.38-1.50
O (0.9052, 0.1397, 0.8333)  2 B 1.36-1.47
O (0.9941, 0.1639, 0.1919)  2 B 1.38-1.50

=====

# 2
Entry from Alexandria via LeMat-Bulk: an optimized crystal structure of CaB2H10O9 (GGA-PBEsol).

Summary:
The calculation puts the total energy at -6.01 eV/atom. As for the symmetry: P-1, No. 2. Its density of states at the Fermi level is 0.0000 states/eV/atom.

a b c (Å): 6.3938 7.6514 7.9481
angles (deg): 69.12 68.40 74.03
With the nearest neighbours (Å) after each atom.
Sites, in units of the cell vectors:
Ca (0.5945, 0.0043, 0.2366)  7 O 2.31-2.49
Ca (0.4055, 0.9957, 0.7634)  7 O 2.31-2.49
B (0.8541, 0.9946, 0.7907)  4 O 1.46-1.50
B (0.1459, 0.0054, 0.2093)  4 O 1.46-1.50
B (0.6244, 0.3224, 0.8423)  4 O 1.45-1.50
B (0.3756, 0.6776, 0.1577)  4 O 1.45-1.50
H (0.1921, 0.5643, 0.5195)  1 O 1.03
H (0.7650, 0.4969, 0.2679)  1 O 1.02
H (0.2350, 0.5031, 0.7321)  1 O 1.02
H (0.8079, 0.4357, 0.4805)  1 O 1.03
H (0.1167, 0.5123, 0.3104)  1 O 1.00
H (0.7172, 0.7000, 0.0472)  1 O 1.01
H (0.1097, 0.0766, 0.5479)  1 O 1.00
H (0.8903, 0.9234, 0.4521)  1 O 1.00
H (0.9839, 0.1850, 0.0049)  1 O 1.00
H (0.0161, 0.8150, 0.9951)  1 O 1.00
H (0.9190, 0.7606, 0.6962)  1 O 1.00
H (0.8833, 0.4877, 0.6896)  1 O 1.00
H (0.3207, 0.5910, 0.9582)  1 O 1.01
H (0.6793, 0.4090, 0.0418)  1 O 1.01
H (0.3424, 0.7456, 0.5787)  1 O 1.00
H (0.6576, 0.2544, 0.4213)  1 O 1.00
H (0.5898, 0.6701, 0.6049)  1 O 1.02
H (0.4102, 0.3299, 0.3951)  1 O 1.02
H (0.2828, 0.3000, 0.9528)  1 O 1.01
H (0.0810, 0.2394, 0.3038)  1 O 1.00
O (0.1938, 0.1189, 0.3063)  1 H 1.00
O (0.1316, 0.5844, 0.6513)  2 H 1.02-1.03
O (0.0724, 0.0606, 0.6858)  1 H 1.00
O (0.9276, 0.9394, 0.3142)  1 H 1.00
O (0.1414, 0.1250, 0.0149)  1 H 1.00
O (0.8586, 0.8750, 0.9851)  1 H 1.00
O (0.5150, 0.2097, 0.4436)  2 H 1.00-1.02
O (0.8062, 0.8811, 0.6937)  1 H 1.00
O (0.3472, 0.8567, 0.1931)  2 B 1.45-1.46
O (0.6528, 0.1433, 0.8069)  2 B 1.45-1.46
O (0.8684, 0.4156, 0.3487)  2 H 1.02-1.03
O (0.7088, 0.2892, 0.0037)  1 H 1.01
O (0.2579, 0.5304, 0.3236)  1 H 1.00
O (0.7421, 0.4696, 0.6764)  1 H 1.00
O (0.3771, 0.4057, 0.8816)  1 H 1.01
O (0.6229, 0.5943, 0.1184)  1 H 1.01
O (0.4850, 0.7903, 0.5564)  2 H 1.00-1.02
O (0.2912, 0.7108, 0.9963)  1 H 1.01

=====

# 3
Entry from Alexandria via LeMat-Bulk: an optimized crystal structure of CaB3H13O12 (GGA-PBEsol).

Summary:
The calculation puts the total energy at -6.06 eV/atom. As for the symmetry: P2_1/c, No. 14. Its density of states at the Fermi level is 0.0000 states/eV/atom.

a b c (Å): 8.1887 10.2771 11.7569
angles (deg): 90.00 90.00 112.38
With the nearest neighbours (Å) after each atom.
Sites, in units of the cell vectors:
Ca (0.1467, 0.9772, 0.8698)  8 O 2.32-2.58
Ca (0.6467, 0.4772, 0.6302)  8 O 2.32-2.58
Ca (0.8533, 0.0228, 0.1302)  8 O 2.32-2.58
Ca (0.3533, 0.5228, 0.3698)  8 O 2.32-2.58
B (0.2439, 0.0774, 0.1109)  4 O 1.47-1.49
B (0.7439, 0.5774, 0.3891)  4 O 1.47-1.49
B (0.7561, 0.9226, 0.8891)  4 O 1.47-1.49
B (0.2561, 0.4226, 0.6109)  4 O 1.47-1.49
B (0.2356, 0.2626, 0.9611)  4 O 1.45-1.52
B (0.7356, 0.7626, 0.5389)  4 O 1.45-1.52
B (0.7644, 0.7374, 0.0389)  4 O 1.45-1.52
B (0.2644, 0.2374, 0.4611)  4 O 1.45-1.52
B (0.5048, 0.2987, 0.0759)  3 O 1.36-1.40
B (0.0048, 0.7987, 0.4241)  3 O 1.36-1.40
B (0.4952, 0.7013, 0.9241)  3 O 1.36-1.40
B (0.9952, 0.2013, 0.5759)  3 O 1.36-1.40
H (0.1494, 0.9788, 0.2668)  1 O 0.99
H (0.6494, 0.4788, 0.2332)  1 O 0.99
H (0.8506, 0.0212, 0.7332)  1 O 0.99
H (0.3506, 0.5212, 0.7668)  1 O 0.99
H (0.1855, 0.8593, 0.1050)  1 O 1.00
H (0.6855, 0.3593, 0.3950)  1 O 1.00
H (0.8145, 0.1407, 0.8950)  1 O 1.00
H (0.3145, 0.6407, 0.6050)  1 O 1.00
H (0.2676, 0.2976, 0.7894)  1 O 1.00
H (0.7676, 0.7976, 0.7106)  1 O 1.00
H (0.7324, 0.7024, 0.2106)  1 O 1.00
H (0.2324, 0.2024, 0.2894)  1 O 1.00
H (0.0502, 0.3500, 0.9272)  1 O 1.03
H (0.5502, 0.8500, 0.5728)  1 O 1.03
H (0.9498, 0.6500, 0.0728)  1 O 1.03
H (0.4498, 0.1500, 0.4272)  1 O 1.03
H (0.7315, 0.4783, 0.0648)  1 O 1.02
H (0.2315, 0.9783, 0.4352)  1 O 1.02
H (0.2685, 0.5217, 0.9352)  1 O 1.02
H (0.7685, 0.0217, 0.5648)  1 O 1.02
H (0.0755, 0.9005, 0.6166)  1 O 1.01
H (0.5755, 0.4005, 0.8834)  1 O 1.01
H (0.9245, 0.0995, 0.3834)  1 O 1.01
H (0.4245, 0.5995, 0.1166)  1 O 1.01
H (0.2556, 0.0282, 0.6101)  1 O 0.99
H (0.7556, 0.5282, 0.8899)  1 O 0.99
H (0.7444, 0.9718, 0.3899)  1 O 0.99
H (0.2444, 0.4718, 0.1101)  1 O 0.99
H (0.9930, 0.6887, 0.9091)  1 O 1.01
H (0.4930, 0.1887, 0.5909)  1 O 1.01
H (0.0070, 0.3113, 0.0909)  1 O 1.01
H (0.5070, 0.8113, 0.4091)  1 O 1.01
H (0.1785, 0.6898, 0.8640)  1 O 1.00
H (0.6786, 0.1898, 0.6360)  1 O 1.00
H (0.8214, 0.3102, 0.1360)  1 O 1.00
H (0.3214, 0.8102, 0.3640)  1 O 1.00
H (0.5499, 0.0533, 0.8863)  1 O 1.00
H (0.0499, 0.5533, 0.6137)  1 O 1.00
H (0.4501, 0.9467, 0.1137)  1 O 1.00
H (0.9501, 0.4467, 0.3863)  1 O 1.00
H (0.5021, 0.1308, 0.7800)  1 O 0.99
H (0.0021, 0.6308, 0.7200)  1 O 0.99
H (0.4979, 0.8692, 0.2200)  1 O 0.99
H (0.9979, 0.3692, 0.2800)  1 O 0.99
H (0.9651, 0.3192, 0.7603)  1 O 1.01
H (0.4651, 0.8192, 0.7397)  1 O 1.01
H (0.0349, 0.6808, 0.2397)  1 O 1.01
H (0.5349, 0.1808, 0.2603)  1 O 1.01
H (0.8199, 0.3597, 0.8325)  1 O 1.01
H (0.3199, 0.8597, 0.6675)  1 O 1.01
H (0.1801, 0.6403, 0.1675)  1 O 1.01
H (0.6801, 0.1403, 0.3325)  1 O 1.01
O (0.1349, 0.0494, 0.2147)  1 H 0.99
O (0.6349, 0.5494, 0.2853)  1 H 0.99
O (0.8651, 0.9506, 0.7853)  1 H 0.99
O (0.3651, 0.4506, 0.7147)  1 H 0.99
O (0.2554, 0.9480, 0.0634)  1 H 1.00
O (0.7554, 0.4480, 0.4366)  1 H 1.00
O (0.7446, 0.0520, 0.9366)  1 H 1.00
O (0.2446, 0.5520, 0.5634)  1 H 1.00
O (0.2085, 0.2183, 0.8432)  1 H 1.00
O (0.7085, 0.7183, 0.6568)  1 H 1.00
O (0.7915, 0.7817, 0.1568)  1 H 1.00
O (0.2915, 0.2817, 0.3432)  1 H 1.00
O (0.1518, 0.3686, 0.9847)  1 H 1.03
O (0.6518, 0.8686, 0.5153)  1 H 1.03
O (0.8482, 0.6314, 0.0153)  1 H 1.03
O (0.3482, 0.1314, 0.4847)  1 H 1.03
O (0.6756, 0.3856, 0.1087)  1 H 1.02
O (0.1756, 0.8856, 0.3913)  1 H 1.02
O (0.3244, 0.6143, 0.8913)  1 H 1.02
O (0.8244, 0.1144, 0.6087)  1 H 1.02
O (0.1870, 0.9499, 0.6617)  2 H 0.99-1.01
O (0.6870, 0.4499, 0.8383)  2 H 0.99-1.01
O (0.8130, 0.0501, 0.3383)  2 H 0.99-1.01
O (0.3130, 0.5501, 0.1617)  2 H 0.99-1.01
O (0.0848, 0.7280, 0.8477)  2 H 1.00-1.01
O (0.5848, 0.2280, 0.6523)  2 H 1.00-1.01
O (0.9152, 0.2720, 0.1523)  2 H 1.00-1.01
O (0.4152, 0.7720, 0.3477)  2 H 1.00-1.01
O (0.4502, 0.0662, 0.8449)  2 H 0.99-1.00
O (0.9502, 0.5662, 0.6551)  2 H 0.99-1.00
O (0.5498, 0.9338, 0.1551)  2 H 0.99-1.00
O (0.0498, 0.4338, 0.3449)  2 H 0.99-1.00
O (0.9029, 0.3080, 0.8359)  2 H 1.01
O (0.4029, 0.8080, 0.6641)  2 H 1.01
O (0.0971, 0.6920, 0.1641)  2 H 1.01
O (0.5971, 0.1920, 0.3359)  2 H 1.01
O (0.1544, 0.1363, 0.0300)  2 B 1.46-1.47
O (0.6544, 0.6363, 0.4700)  2 B 1.46-1.47
O (0.8456, 0.8637, 0.9700)  2 B 1.46-1.47
O (0.3456, 0.3637, 0.5300)  2 B 1.46-1.47
O (0.4258, 0.1789, 0.1373)  2 B 1.36-1.49
O (0.9258, 0.6789, 0.3627)  2 B 1.36-1.49
O (0.5742, 0.8211, 0.8627)  2 B 1.36-1.49
O (0.0742, 0.3211, 0.6373)  2 B 1.36-1.49
O (0.4259, 0.3375, 0.9873)  2 B 1.36-1.48
O (0.9259, 0.8375, 0.5127)  2 B 1.36-1.48
O (0.5741, 0.6625, 0.0127)  2 B 1.36-1.48
O (0.0741, 0.1625, 0.4873)  2 B 1.36-1.48

=====

# 4
Entry from Alexandria via LeMat-Bulk: an optimized crystal structure of CaB2H12O10 (GGA-PBEsol).

Summary:
The calculation puts the total energy at -5.88 eV/atom. As for the symmetry: P2/c, No. 13. Its density of states at the Fermi level is 0.0000 states/eV/atom.

a b c (Å): 6.4129 7.7872 7.7766
angles (deg): 104.12 90.00 90.00
With the nearest neighbours (Å) after each atom.
Sites, in units of the cell vectors:
Ca (0.0315, 0.0000, 0.2500)  8 O 2.37-2.54
Ca (0.9685, 0.0000, 0.7500)  8 O 2.37-2.54
B (0.7211, 0.1896, 0.0699)  4 O 1.47-1.49
B (0.2789, 0.8104, 0.9301)  4 O 1.47-1.49
B (0.7211, 0.8104, 0.4301)  4 O 1.47-1.49
B (0.2789, 0.1896, 0.5699)  4 O 1.47-1.49
H (0.3271, 0.6397, 0.4258)  1 O 1.01
H (0.0784, 0.6257, 0.3987)  1 O 1.01
H (0.0784, 0.3743, 0.1013)  1 O 1.01
H (0.9216, 0.3743, 0.6013)  1 O 1.01
H (0.6729, 0.3603, 0.5742)  1 O 1.01
H (0.7707, 0.6307, 0.5831)  1 O 1.02
H (0.8381, 0.6585, 0.1833)  1 O 1.01
H (0.3271, 0.3603, 0.0742)  1 O 1.01
H (0.9216, 0.6257, 0.8987)  1 O 1.01
H (0.5429, 0.2248, 0.7518)  1 O 1.00
H (0.7707, 0.3693, 0.9169)  1 O 1.02
H (0.1619, 0.3415, 0.8167)  1 O 1.01
H (0.1619, 0.6585, 0.6833)  1 O 1.01
H (0.6539, 0.9145, 0.9818)  1 O 1.01
H (0.2293, 0.3693, 0.4169)  1 O 1.02
H (0.5429, 0.7752, 0.7482)  1 O 1.00
H (0.8381, 0.3415, 0.3167)  1 O 1.01
H (0.4571, 0.7752, 0.2482)  1 O 1.00
H (0.3461, 0.0855, 0.0182)  1 O 1.01
H (0.2293, 0.6307, 0.0831)  1 O 1.02
H (0.3461, 0.9145, 0.4818)  1 O 1.01
H (0.4571, 0.2248, 0.2518)  1 O 1.00
H (0.6729, 0.6397, 0.9258)  1 O 1.01
H (0.6539, 0.0855, 0.5182)  1 O 1.01
O (0.2574, 0.2377, 0.3986)  1 H 1.02
O (0.2285, 0.0027, 0.9669)  1 H 1.01
O (0.8016, 0.5816, 0.9609)  2 H 1.01
O (0.7426, 0.2377, 0.8986)  1 H 1.02
O (0.2285, 0.9973, 0.5331)  1 H 1.01
O (0.2574, 0.7623, 0.1014)  1 H 1.02
O (0.5062, 0.2314, 0.1310)  1 H 1.00
O (0.7715, 0.0027, 0.4669)  1 H 1.01
O (0.8839, 0.2776, 0.1941)  1 H 1.01
O (0.4938, 0.7686, 0.8690)  1 H 1.00
O (0.8016, 0.4184, 0.5391)  2 H 1.01
O (0.1984, 0.4184, 0.0391)  2 H 1.01
O (0.8839, 0.7224, 0.3059)  1 H 1.01
O (0.1161, 0.2776, 0.6941)  1 H 1.01
O (0.5062, 0.7686, 0.3690)  1 H 1.00
O (0.4938, 0.2314, 0.6310)  1 H 1.00
O (0.1984, 0.5816, 0.4609)  2 H 1.01
O (0.7426, 0.7623, 0.6014)  1 H 1.02
O (0.1161, 0.7224, 0.8059)  1 H 1.01
O (0.7715, 0.9973, 0.0331)  1 H 1.01

=====

# 5
Entry from Alexandria via LeMat-Bulk: an optimized crystal structure of CaSiBHO5 (GGA-PBEsol).

Summary:
The calculation puts the total energy at -7.53 eV/atom. As for the symmetry: P2_1/c, No. 14. Its density of states at the Fermi level is 0.0000 states/eV/atom.

a b c (Å): 4.8296 7.5886 9.6267
angles (deg): 90.00 90.37 90.00
With the nearest neighbours (Å) after each atom.
Sites, in units of the cell vectors:
Ca (0.9914, 0.8936, 0.3364)  5 O 2.26-2.53
Ca (0.0086, 0.1064, 0.6636)  5 O 2.26-2.53
Ca (0.9914, 0.6064, 0.8364)  5 O 2.26-2.53
Ca (0.0086, 0.3936, 0.1636)  5 O 2.26-2.53
Si (0.5298, 0.2682, 0.9161)  4 O 1.59-1.67
Si (0.5298, 0.2318, 0.4161)  4 O 1.59-1.67
Si (0.4702, 0.7682, 0.5839)  4 O 1.59-1.67
Si (0.4702, 0.7318, 0.0839)  4 O 1.59-1.67
B (0.4285, 0.0881, 0.1587)  4 O 1.47-1.49
B (0.5715, 0.9119, 0.8413)  4 O 1.47-1.49
B (0.5715, 0.5881, 0.3413)  4 O 1.47-1.49
B (0.4285, 0.4119, 0.6587)  4 O 1.47-1.49
H (0.1967, 0.9675, 0.9250)  1 O 0.99
H (0.8033, 0.4675, 0.5750)  1 O 0.99
H (0.8033, 0.0325, 0.0750)  1 O 0.99
H (0.1967, 0.5325, 0.4250)  1 O 0.99
O (0.7377, 0.0851, 0.1627)  1 H 0.99
O (0.7586, 0.0939, 0.4644)  1 Si 1.59
O (0.6758, 0.6974, 0.4585)  1 B 1.49, 1 Si 1.66
O (0.6902, 0.0898, 0.8548)  1 B 1.47
O (0.7377, 0.4149, 0.6627)  1 H 0.99
O (0.6789, 0.6645, 0.2113)  1 B 1.48
O (0.7586, 0.4061, 0.9644)  1 Si 1.59
O (0.3098, 0.5898, 0.6452)  1 B 1.47
O (0.2623, 0.9149, 0.8373)  1 H 0.99
O (0.2414, 0.5939, 0.0356)  1 Si 1.59
O (0.3098, 0.9102, 0.1452)  1 B 1.47
O (0.3211, 0.1645, 0.2887)  1 B 1.48
O (0.2414, 0.9061, 0.5356)  1 Si 1.59
O (0.6902, 0.4102, 0.3548)  1 B 1.47
O (0.3242, 0.1974, 0.0415)  1 B 1.49, 1 Si 1.66
O (0.2623, 0.5851, 0.3373)  1 H 0.99
O (0.3242, 0.3026, 0.5415)  1 B 1.49, 1 Si 1.66
O (0.6758, 0.8026, 0.9585)  1 B 1.49, 1 Si 1.66
O (0.6789, 0.8355, 0.7113)  1 B 1.48
O (0.3211, 0.3355, 0.7887)  1 B 1.48

=====

# 6
Entry from Alexandria via LeMat-Bulk: an optimized crystal structure of CaHgBI2 (GGA-PBEsol).

Summary:
The calculation puts the total energy at -2.65 eV/atom. The value obtained for the formation energy from raw total energies is 0.0018 eV per atom. As for the symmetry: P4/mmm, No. 123. Its density of states at the Fermi level is 0.3941 states/eV/atom.

a b c (Å): 4.1992 5.8005 5.8005
angles (deg): 90.00 90.00 90.00
With the nearest neighbours (Å) after each atom.
Sites, in units of the cell vectors:
I (0.0000, 0.0000, 0.5000)  2 B 2.90
I (0.0000, 0.5000, 0.0000)  2 B 2.90
Ca (0.5000, 0.5000, 0.5000)  8 I 3.58
B (0.0000, 0.0000, 0.0000)  2 Hg 2.10
Hg (0.5000, 0.0000, 0.0000)  2 B 2.10